Material: Ce2MnNi3As4
Method: DFT, PBE
State: relaxed

calculated formation energy = -767.4 meV/atom
SG = P-4m2 (115)
Fermi-level density of states = 14.11 states/eV per cell
spin magnetization = 2.1 μB per formula unit

Cell and atoms, written as POSCAR:
```
Ce2MnNi3As4
1.0
4.220 0.000 0.000
0.000 4.220 0.000
0.000 0.000 9.548
Mn Ni As Ce
1 3 4 2
Cartesian
2.110 2.110 4.774
0.000 0.000 4.774
2.110 0.000 8.445
0.000 2.110 1.103
2.110 2.110 0.000
0.000 0.000 0.000
0.000 2.110 3.472
2.110 0.000 6.077
0.000 2.110 7.195
2.110 0.000 2.353
```